[1]
The following is a GGA-PBE calculation of crystalline SrLi4Pm at its relaxed geometry, from Alexandria via LeMat-Bulk.

a = 8.759 Å, b = 8.759 Å, c = 8.759 Å
α = 90.00°, β = 90.00°, γ = 90.00°
Space group F-43m (No. 216)
Inequivalent atoms, fractional coordinates:
Sr (0.000, 0.000, 0.000) (multiplicity 4)
Li (0.124, 0.124, 0.376) (multiplicity 16)
Pm (0.250, 0.250, 0.750) (multiplicity 4)

Fermi-level density of states in states/eV/cell: 25.84
Formation energy in kJ/mol of formula units: 62
V in A^3/atom: 28.0

[2]
The following is a GGA-PBE calculation of crystalline SrLiPm at its relaxed geometry, from Alexandria via LeMat-Bulk.

a = 3.916 Å, b = 3.916 Å, c = 13.799 Å
α = 90.00°, β = 90.00°, γ = 90.00°
Space group I4mm (No. 107)
Inequivalent atoms, fractional coordinates:
Sr (0.000, 0.000, 0.000) (multiplicity 2)
Li (0.000, 0.000, 0.660) (multiplicity 2)
Pm (0.000, 0.000, 0.293) (multiplicity 2)

Polymorph energy (0 for the lowest one) in kJ/mol of atoms: 7.94
Fermi-level density of states in states/eV/cell: 9.17
Formation energy in kJ/mol of formula units: 47
V in A^3/atom: 35.3

[3]
The following is a GGA-PBE calculation of crystalline SrLiPm at its relaxed geometry, from Alexandria via LeMat-Bulk.

a = 5.8579 Å, b = 5.8579 Å, c = 3.6422 Å
α = 90.00°, β = 90.00°, γ = 120.00°
Space group P3m1 (No. 156)
Inequivalent atoms, fractional coordinates:
Sr (0.0000, 0.0000, 0.0000) (multiplicity 1)
Li (0.3333, 0.6667, 0.7730) (multiplicity 1)
Pm (0.6667, 0.3333, 0.4208) (multiplicity 1)

Polymorph energy (0 for the lowest one) in kJ/mol of atoms: 16.03
Fermi-level density of states in states/eV/cell: 2.78
Formation energy in kJ/mol of formula units: 71
V in A^3/atom: 36.1

[4]
The following is a GGA-PBE calculation of crystalline SrLiPm at its relaxed geometry, from Alexandria via LeMat-Bulk.

a = 3.900 Å, b = 18.451 Å, c = 5.880 Å
α = 90.00°, β = 90.00°, γ = 90.00°
Space group Cmcm (No. 63)
Inequivalent atoms, fractional coordinates:
Sr (0.000, 0.085, 0.250) (multiplicity 4)
Li (0.000, 0.415, 0.250) (multiplicity 4)
Pm (0.000, 0.229, 0.750) (multiplicity 4)

Polymorph energy (0 for the lowest one) in kJ/mol of atoms: 0.00
Fermi-level density of states in states/eV/cell: 13.42
Formation energy in kJ/mol of formula units: 23
V in A^3/atom: 35.3

[5]
The following is a GGA-PBE calculation of crystalline SrLi2Pm at its relaxed geometry, from Alexandria via LeMat-Bulk.

a = 3.968 Å, b = 3.968 Å, c = 8.134 Å
α = 90.00°, β = 90.00°, γ = 90.00°
Space group P4/mmm (No. 123)
Inequivalent atoms, fractional coordinates:
Sr (0.000, 0.000, 0.000) (multiplicity 1)
Li (0.500, 0.500, 0.278) (multiplicity 2)
Pm (0.000, 0.000, 0.500) (multiplicity 1)

Polymorph energy (0 for the lowest one) in kJ/mol of atoms: 0.00
Fermi-level density of states in states/eV/cell: 5.45
Formation energy in kJ/mol of formula units: 47
V in A^3/atom: 32.0

[6]
The following is a GGA-PBE calculation of crystalline SrLiPmTe3 at its relaxed geometry, from Alexandria via LeMat-Bulk.

a = 9.322 Å, b = 4.496 Å, c = 9.821 Å
α = 90.00°, β = 103.03°, γ = 90.00°
Space group P2_1/m (No. 11)
Inequivalent atoms, fractional coordinates:
Sr (0.184, 0.250, 0.238) (multiplicity 2)
Li (0.084, 0.250, 0.587) (multiplicity 2)
Pm (0.330, 0.750, 0.835) (multiplicity 2)
Te (0.102, 0.250, 0.871) (multiplicity 2)
Te (0.221, 0.750, 0.508) (multiplicity 2)
Te (0.433, 0.750, 0.170) (multiplicity 2)

V in A^3/atom: 33.4
Uncorrected formation energy in meV/atom: -1426

Look up the V of the third one. 36.1 A^3/atom